The following is a DFT calculation (PBE with a Hubbard U) of a relaxed structure of NaPr2MnO6.

Calculated values
symmetry	P2_1/c (14)
energy	-142.3	eV for the cell shown

Structure (POSCAR):
```
NaPr2MnO6
1.0
5.535 0.000 0.037
0.000 5.958 0.000
0.104 0.000 7.900
Na Pr Mn O
2 4 2 12
direct
0.500 0.000 0.000 Na
0.000 0.500 0.500 Na
0.020 0.927 0.254 Pr
0.520 0.573 0.754 Pr
0.980 0.073 0.746 Pr
0.480 0.427 0.246 Pr
0.500 0.000 0.500 Mn
0.000 0.500 0.000 Mn
0.287 0.671 0.047 O
0.787 0.829 0.547 O
0.713 0.329 0.953 O
0.213 0.171 0.453 O
0.336 0.724 0.437 O
0.836 0.776 0.937 O
0.664 0.276 0.563 O
0.164 0.224 0.063 O
0.890 0.544 0.229 O
0.390 0.956 0.729 O
0.110 0.456 0.771 O
0.610 0.044 0.271 O
```